1.
PBE YCo2Cl, relaxed; total moment = 1.36 μB per cell; formation energy (no corrections) = 532 meV per atom; energy above the lowest structure with this stoichiometry = 3.79 eV/f.u.
1.0
0.000 3.214 3.214
3.214 0.000 3.214
3.214 3.214 0.000
Cl Co Y
1 2 1
direct
0.000 0.000 0.000
0.750 0.750 0.750
0.250 0.250 0.250
0.500 0.500 0.500

---

2.
PBE CeUFeNi, relaxed; total moment = 0.08 μB per cell; ΔE_f = -97 meV per atom
1.0
-0.487 4.406 0.640
-4.088 1.828 -0.027
-1.796 1.524 3.809
Ni Ce U Fe
1 1 1 1
direct
0.250 0.250 0.250
0.500 0.500 0.500
0.750 0.750 0.750
0.000 0.000 0.000